The following is a PBE calculation of NdEr2Sc5 after structural relaxation, from the Alexandria database.

Calculated values
symmetry: No. 107
formation energy: 0.060 eV/atom
total magnetization: 0.000 μB per formula unit

Cell lengths 6.8047, 6.8047, 9.3323 Å; angles 90.00, 90.00, 90.00 degrees
Last column: nearest neighbours and their distance in Å.
Element x y z (fractional)
Nd (0.0000, 0.0000, 0.0000)  8 Sc 3.35, 4 Er 3.40
Nd (0.5000, 0.5000, 0.5000)  8 Sc 3.35, 4 Er 3.40
Er (0.0000, 0.5000, 0.4994)  10 Sc 3.35-3.40, 2 Nd 3.40
Er (0.0000, 0.5000, 0.9994)  10 Sc 3.35-3.40, 2 Nd 3.40
Er (0.5000, 0.0000, 0.4994)  10 Sc 3.35-3.40, 2 Nd 3.40
Er (0.5000, 0.0000, 0.9994)  10 Sc 3.35-3.40, 2 Nd 3.40
Sc (0.0000, 0.0000, 0.4992)  8 Sc 3.35, 4 Er 3.40
Sc (0.2503, 0.2503, 0.2496)  4 Er 3.35, 2 Nd 3.35, 6 Sc 3.35-3.41
Sc (0.2497, 0.2497, 0.7496)  4 Er 3.35, 2 Nd 3.35, 6 Sc 3.35-3.41
Sc (0.2503, 0.7497, 0.2496)  4 Er 3.35, 2 Nd 3.35, 6 Sc 3.35-3.41
Sc (0.2497, 0.7503, 0.7496)  4 Er 3.35, 2 Nd 3.35, 6 Sc 3.35-3.41
Sc (0.5000, 0.5000, 0.9992)  8 Sc 3.35, 4 Er 3.40
Sc (0.7497, 0.2503, 0.2496)  4 Er 3.35, 2 Nd 3.35, 6 Sc 3.35-3.41
Sc (0.7503, 0.2497, 0.7496)  4 Er 3.35, 2 Nd 3.35, 6 Sc 3.35-3.41
Sc (0.7497, 0.7497, 0.2496)  4 Er 3.35, 2 Nd 3.35, 6 Sc 3.35-3.41
Sc (0.7503, 0.7503, 0.7496)  4 Er 3.35, 2 Nd 3.35, 6 Sc 3.35-3.41